Record 1
GdZrNO GGA-PBE optimized geometry; crystal system = orthorhombic; total DFT energy (no corrections) = -8.57 eV per atom
1.0
4.841 0.000 0.000
0.000 6.497 0.000
0.000 0.000 7.978
Zr O N Gd
4 4 4 4
Direct
0.051 0.562 0.390
0.051 0.062 0.610
0.551 0.438 0.610
0.551 0.938 0.390
0.551 0.609 0.370
0.551 0.109 0.630
0.051 0.891 0.370
0.051 0.391 0.630
0.551 0.055 0.137
0.051 0.945 0.863
0.551 0.555 0.863
0.051 0.445 0.137
0.051 0.580 0.864
0.051 0.080 0.136
0.551 0.420 0.136
0.551 0.920 0.864

***

Record 2
YCuAu2 GGA-PBE optimized geometry; crystal system = cubic; calculated formation energy = -1.92 eV/f.u.
1.0
-3.264 -0.080 3.474
-2.419 3.961 1.090
-4.633 0.335 -1.074
Y Cu Au
1 1 2
Direct
0.500 0.500 0.500
0.250 0.250 0.250
0.000 0.000 0.000
0.750 0.750 0.750

***

Result set for calculated density: 7.37, 11.84 Mg/m³, one per record in the order listed.